1.
# Pr3Sm2Zn3 PBE optimized geometry
# size of the total moment: 0.00 μB per atom
# calculated formation energy: -220.7 meV/atom
data_Pr3Sm2Zn3
_chemical_formula_sum 'Pr6 Sm4 Zn6'
_symmetry_space_group_name_H-M 'I m m m'
_symmetry_Int_Tables_number 71
_symmetry_space_group_name_Hall '-I 2 2'
_cell_length_a 3.7411
_cell_length_b 5.3748
_cell_length_c 22.0495
_cell_angle_alpha 90.00
_cell_angle_beta 90.00
_cell_angle_gamma 90.00
loop_
_atom_site_label
_atom_site_fract_x
_atom_site_fract_y
_atom_site_fract_z
_atom_site_occupancy
Pr1 0.0000 0.0000 0.0000 1
Pr2 0.0000 0.5000 0.1177 1
Sm1 0.0000 0.0000 0.2296 1
Zn1 0.0000 0.0000 0.5000 1
Zn2 0.0000 0.5000 0.3825 1

2.
# RbV3Si PBE optimized geometry
# size of the total moment: 0.00 μB per atom
# formation energy without anion corrections: 2.65 eV per atom
# energy above the most stable polymorph in this dataset: 1530 meV per atom
data_RbV3Si
_chemical_formula_sum 'Rb1 V3 Si1'
_symmetry_space_group_name_H-M 'P m -3 m'
_symmetry_Int_Tables_number 221
_symmetry_space_group_name_Hall '-P 4 2 3'
_cell_length_a 4.4648
_cell_length_b 4.4648
_cell_length_c 4.4648
_cell_angle_alpha 90.00
_cell_angle_beta 90.00
_cell_angle_gamma 90.00
loop_
_atom_site_label
_atom_site_fract_x
_atom_site_fract_y
_atom_site_fract_z
_atom_site_occupancy
Rb1 0.0000 0.0000 0.0000 1
V1 0.0000 0.0000 0.5000 1
Si1 0.5000 0.5000 0.5000 1

| no. | total DFT energy (no corrections) (eV/atom) |
| --- | --- |
| 1 | -3.67 |
| 2 | -4.10 |